## w
The following is a GGA-PBE calculation of a relaxed structure of Hf3VP, from Alexandria.

size of the total moment = 0.00 μB/cell
symmetry = Pm-3m, No. 221

abc: 4.794 4.794 4.794
angles: 90.00 90.00 90.00
Atoms (fractional coordinates):
Hf1 0.000 0.000 0.500
Hf2 0.000 0.500 0.000
Hf3 0.500 0.000 0.000
V1 0.000 0.000 0.000
P1 0.500 0.500 0.500


## x
The following is a GGA-PBE calculation of a relaxed structure of Hf3VP, from Alexandria.

size of the total moment = 2.63 μB/cell
symmetry = Pm-3m, No. 221

abc: 4.800 4.800 4.800
angles: 90.00 90.00 90.00
Atoms (fractional coordinates):
Hf1 0.000 0.000 0.500
Hf2 0.000 0.500 0.000
Hf3 0.500 0.000 0.000
V1 0.500 0.500 0.500
P1 0.000 0.000 0.000


## y
The following is a GGA-PBE calculation of a relaxed structure of Hf3VP, from Alexandria.

size of the total moment = 0.00 μB/cell
symmetry = C2/m, No. 12

abc: 6.320 6.320 6.364
angles: 119.12 119.12 78.34
Atoms (fractional coordinates):
Hf1 0.054 0.054 0.284
Hf2 0.088 0.480 0.798
Hf3 0.480 0.088 0.798
Hf4 0.520 0.912 0.202
Hf5 0.912 0.520 0.202
Hf6 0.946 0.946 0.716
V1 0.432 0.432 0.622
V2 0.568 0.568 0.378
P1 0.266 0.266 0.130
P2 0.734 0.734 0.870


Most stable one: y, least stable one: w.


## w
The following is a GGA-PBE calculation of a relaxed structure of HfV2P2, from Alexandria.

size of the total moment = 0.00 μB/cell
symmetry = I4/mmm, No. 139

abc: 4.989 4.989 4.989
angles: 127.24 127.24 77.86
Atoms (fractional coordinates):
Hf1 0.000 0.000 0.000
V1 0.370 0.370 0.000
V2 0.630 0.630 0.000
P1 0.250 0.750 0.500
P2 0.750 0.250 0.500


## x
The following is a GGA-PBE calculation of a relaxed structure of HfV2P2, from Alexandria.

size of the total moment = 0.00 μB/cell
symmetry = P2_1/m, No. 11

abc: 4.290 3.237 10.441
angles: 90.00 94.22 90.00
Atoms (fractional coordinates):
Hf1 0.204 0.250 0.264
Hf2 0.796 0.750 0.736
V1 0.250 0.750 0.493
V2 0.328 0.250 0.891
V3 0.672 0.750 0.109
V4 0.750 0.250 0.507
P1 0.171 0.750 0.043
P2 0.280 0.250 0.660
P3 0.720 0.750 0.340
P4 0.829 0.250 0.957


## y
The following is a GGA-PBE calculation of a relaxed structure of HfV2P2, from Alexandria.

size of the total moment = 0.00 μB/cell
symmetry = P4/mbm, No. 127

abc: 6.742 6.742 3.154
angles: 90.00 90.00 90.00
Atoms (fractional coordinates):
Hf1 0.000 0.000 0.000
Hf2 0.500 0.500 0.000
V1 0.143 0.357 0.500
V2 0.357 0.857 0.500
V3 0.643 0.143 0.500
V4 0.857 0.643 0.500
P1 0.141 0.641 0.000
P2 0.359 0.141 0.000
P3 0.641 0.859 0.000
P4 0.859 0.359 0.000


Most stable one: x, least stable one: w.


## w
The following is a GGA-PBE calculation of a relaxed structure of Hf2VP2, from Alexandria.

size of the total moment = 0.00 μB/cell
symmetry = P4/mbm, No. 127

abc: 6.542 6.542 3.668
angles: 90.00 90.00 90.00
Atoms (fractional coordinates):
Hf1 0.165 0.335 0.000
Hf2 0.335 0.835 0.000
Hf3 0.665 0.165 0.000
Hf4 0.835 0.665 0.000
V1 0.000 0.000 0.500
V2 0.500 0.500 0.500
P1 0.142 0.642 0.500
P2 0.358 0.142 0.500
P3 0.642 0.858 0.500
P4 0.858 0.358 0.500


## x
The following is a GGA-PBE calculation of a relaxed structure of Hf2VP2, from Alexandria.

size of the total moment = 0.00 μB/cell
symmetry = P2_1/m, No. 11

abc: 5.206 3.523 9.708
angles: 90.00 101.85 90.00
Atoms (fractional coordinates):
Hf1 0.103 0.250 0.220
Hf2 0.292 0.250 0.614
Hf3 0.708 0.750 0.386
Hf4 0.897 0.750 0.780
V1 0.274 0.250 0.955
V2 0.726 0.750 0.045
P1 0.222 0.750 0.414
P2 0.415 0.750 0.826
P3 0.585 0.250 0.174
P4 0.778 0.250 0.586


Most stable one: w, least stable one: x.


## w
The following is a GGA-PBE calculation of a relaxed structure of HfV3P, from Alexandria.

size of the total moment = 1.11 μB/cell
symmetry = Pm-3m, No. 221

abc: 4.370 4.370 4.370
angles: 90.00 90.00 90.00
Atoms (fractional coordinates):
Hf1 0.000 0.000 0.000
V1 0.000 0.500 0.500
V2 0.500 0.000 0.500
V3 0.500 0.500 0.000
P1 0.500 0.500 0.500


## x
The following is a GGA-PBE calculation of a relaxed structure of HfV3P, from Alexandria.

size of the total moment = 0.00 μB/cell
symmetry = Pm-3m, No. 221

abc: 4.612 4.612 4.612
angles: 90.00 90.00 90.00
Atoms (fractional coordinates):
Hf1 0.000 0.000 0.000
V1 0.000 0.000 0.500
V2 0.000 0.500 0.000
V3 0.500 0.000 0.000
P1 0.500 0.500 0.500


Most stable one: w, least stable one: x.


## w
The following is a GGA-PBE calculation of a relaxed structure of HfPW3, from Alexandria.

size of the total moment = 0.00 μB/cell
symmetry = Pm-3m, No. 221

abc: 4.816 4.816 4.816
angles: 90.00 90.00 90.00
Atoms (fractional coordinates):
Hf1 0.000 0.000 0.000
P1 0.500 0.500 0.500
W1 0.000 0.000 0.500
W2 0.000 0.500 0.000
W3 0.500 0.000 0.000


## x
The following is a GGA-PBE calculation of a relaxed structure of HfPW3, from Alexandria.

size of the total moment = 0.00 μB/cell
symmetry = Pm-3m, No. 221

abc: 4.490 4.490 4.490
angles: 90.00 90.00 90.00
Atoms (fractional coordinates):
Hf1 0.000 0.000 0.000
P1 0.500 0.500 0.500
W1 0.000 0.500 0.500
W2 0.500 0.000 0.500
W3 0.500 0.500 0.000


Most stable one: x, least stable one: w.


## w
The following is a GGA-PBE calculation of a relaxed structure of HfZnP3, from Alexandria.

size of the total moment = 0.00 μB/cell
symmetry = Pm-3m, No. 221

abc: 4.539 4.539 4.539
angles: 90.00 90.00 90.00
Atoms (fractional coordinates):
Hf1 0.000 0.000 0.000
Zn1 0.500 0.500 0.500
P1 0.000 0.500 0.500
P2 0.500 0.000 0.500
P3 0.500 0.500 0.000


## x
The following is a GGA-PBE calculation of a relaxed structure of HfZnP3, from Alexandria.

size of the total moment = 0.00 μB/cell
symmetry = Pm-3m, No. 221

abc: 4.966 4.966 4.966
angles: 90.00 90.00 90.00
Atoms (fractional coordinates):
Hf1 0.000 0.000 0.000
Zn1 0.500 0.500 0.500
P1 0.000 0.000 0.500
P2 0.000 0.500 0.000
P3 0.500 0.000 0.000


Most stable one: x, least stable one: w.


## w
The following is a GGA-PBE calculation of a relaxed structure of HfZrP2, from Alexandria.

size of the total moment = 0.00 μB/cell
symmetry = R-3m, No. 166

abc: 6.455 6.455 6.455
angles: 33.53 33.53 33.53
Atoms (fractional coordinates):
Hf1 0.000 0.000 0.000
Zr1 0.500 0.500 0.500
P1 0.252 0.252 0.252
P2 0.748 0.748 0.748


## x
The following is a GGA-PBE calculation of a relaxed structure of HfZrP2, from Alexandria.

size of the total moment = 0.00 μB/cell
symmetry = I-42d, No. 122

abc: 7.143 7.143 7.143
angles: 131.74 131.74 70.64
Atoms (fractional coordinates):
Hf1 0.000 0.000 0.000
Hf2 0.750 0.250 0.500
Zr1 0.250 0.750 0.500
Zr2 0.500 0.500 0.000
P1 0.120 0.625 0.995
P2 0.375 0.370 0.495
P3 0.630 0.125 0.005
P4 0.875 0.880 0.505


## y
The following is a GGA-PBE calculation of a relaxed structure of HfZrP2, from Alexandria.

size of the total moment = 0.00 μB/cell
symmetry = Fm-3m, No. 225

abc: 4.593 4.593 4.593
angles: 60.00 60.00 60.00
Atoms (fractional coordinates):
Hf1 0.000 0.000 0.000
Zr1 0.500 0.500 0.500
P1 0.250 0.250 0.250
P2 0.750 0.750 0.750


Most stable one: w, least stable one: x.


## w
The following is a GGA-PBE calculation of a relaxed structure of HfZrP2, from Alexandria.

size of the total moment = 0.00 μB/cell
symmetry = P4/mmm, No. 123

abc: 3.729 3.729 5.251
angles: 90.00 90.00 90.00
Atoms (fractional coordinates):
Hf1 0.000 0.000 0.000
Zr1 0.500 0.500 0.500
P1 0.000 0.000 0.500
P2 0.500 0.500 0.000


## x
The following is a GGA-PBE calculation of a relaxed structure of HfZrP2, from Alexandria.

size of the total moment = 0.00 μB/cell
symmetry = R3m, No. 160

abc: 6.699 6.699 6.699
angles: 31.71 31.71 31.71
Atoms (fractional coordinates):
Hf1 0.000 0.000 0.000
Zr1 0.822 0.822 0.822
P1 0.409 0.409 0.409
P2 0.580 0.580 0.580


Most stable one: x, least stable one: w.